DFT (PBE-GGA) results for a relaxed structure of MgZn.

Computed properties:
**SG**: P-6m2 (187)
**Final energy**: -11.2 eV per cell
**Theoretical density**: 4.11 g/cm³

Structure (extended XYZ):
```
8
Lattice="5.141 -2.968 0.000 0.000 5.937 0.000 0.000 0.000 4.752" Properties=species:S:1:pos:R:3 pbc="T T T"
Mg 2.583 -1.463 0.000
Mg 2.583 1.463 0.000
Mg 5.117 0.000 0.000
Mg 1.714 2.968 2.376
Zn 0.000 0.000 0.000
Zn 4.294 -1.500 2.376
Zn 1.695 0.000 2.376
Zn 4.294 1.500 2.376
```